# 1
{
  "formula": "NdSm5Bi3",
  "functional": "PBE-GGA",
  "state": "optimized geometry",
  "total_energy_ev_per_atom": -4.701,
  "dos_ef_per_ev_fu": 12.790,
  "e_form_ev_per_atom": -0.26,
  "lattice_angstrom": [[-6.537, 4.184, 1.402], [-0.635, -3.371, 7.102], [8.862, 6.570, -0.469]],
  "species": ["Sm", "Sm", "Sm", "Sm", "Sm", "Sm", "Sm", "Sm", "Sm", "Sm", "Bi", "Bi", "Bi", "Bi", "Bi", "Bi", "Nd", "Nd"],
  "frac_coords": [[0.559, 0.689, 0.747], [0.689, 0.189, 0.747], [0.311, 0.811, 0.253], [0.000, 0.000, 0.000], [0.059, 0.559, 0.747], [0.441, 0.311, 0.253], [0.941, 0.441, 0.253], [0.189, 0.059, 0.747], [0.811, 0.941, 0.253], [0.500, 0.500, 0.000], [0.250, 0.250, 0.500], [0.136, 0.364, 0.000], [0.864, 0.636, 0.000], [0.750, 0.750, 0.500], [0.364, 0.864, 0.000], [0.636, 0.136, 0.000], [0.750, 0.250, 0.500], [0.250, 0.750, 0.500]]
}

# 2
{
  "formula": "Nd2SmBi2",
  "functional": "PBE-GGA",
  "state": "optimized geometry",
  "total_energy_ev_per_atom": -5.048,
  "dos_ef_per_ev_fu": 4.306,
  "e_form_ev_per_atom": -0.64,
  "lattice_angstrom": [[6.491, 0.000, 0.000], [0.000, 8.915, 0.000], [-3.245, -4.458, 6.090]],
  "species": ["Nd", "Nd", "Nd", "Nd", "Sm", "Sm", "Bi", "Bi", "Bi", "Bi"],
  "frac_coords": [[0.651, 0.008, 0.302], [0.151, 0.294, 0.302], [0.849, 0.706, 0.698], [0.349, 0.992, 0.698], [0.750, 0.500, 0.000], [0.250, 0.500, 0.000], [0.610, 0.326, 0.220], [0.390, 0.674, 0.780], [0.890, 0.106, 0.780], [0.110, 0.894, 0.220]]
}